## CdSiSb2 (GGA-PBE)

Data for a relaxed structure of CdSiSb2.

POSCAR file:
```
CdSiSb2
1.0
5.254 -0.547 0.000
1.240 5.135 0.000
-3.247 -2.294 3.479
Sb Cd Si
2 1 1
direct
0.000 0.000 0.000
0.250 0.750 0.500
0.750 0.250 0.500
0.500 0.500 0.000
```

Computed properties:
Space group ... I-4m2
ΔE_f (raw) ... 0.42 eV/atom